CoReTe2N: relaxed, PBE-GGA.

Unit cell a=5.3790 b=5.3790 c=3.7102 alpha=90.00 beta=90.00 gamma=90.00
With the nearest neighbours (Å) after each atom.
Atoms (fractional coordinates):
N1 0.0000 0.0000 0.5000  2 Re 1.86
Te1 0.5000 0.0000 0.0000  2 Re 2.69
Te2 0.0000 0.5000 0.0000  2 Re 2.69
Re1 0.0000 0.0000 0.0000  2 N 1.86
Co1 0.5000 0.5000 0.5000  8 Te 3.27

M_tot ... 1.74 μB/f.u.
DFT total energy ... -6.087 eV per atom
Formation energy without anion corrections ... 746 meV per atom